The following is a DFT calculation (PBE) of a geometry-optimized Zr2BeV structure.

Computed properties:
ΔH_f (0 K) = 0.07 eV per atom
Density = 5.80 g/cm3
Total magnetization = 1.89 Bohr magnetons per cell

a b c (Å): 3.293 3.293 6.405
angles (deg): 90.00 90.00 90.00
Element x y z (fractional)
Zr: 0.000 0.000 0.241
Zr: 0.000 0.000 0.759
Be: 0.500 0.500 0.000
V: 0.500 0.500 0.500